#1
The following is a DFT calculation (PBE) of Y4CdCu after structural relaxation.

Results
magnetic moment: 0.00 μB per formula unit
volume: 29.9 Å³ per atom
DOS(E_F): 17.77 states/eV/cell

Unit cell a=7.0744 b=7.4841 c=6.8219 alpha=90.00 beta=96.48 gamma=90.00
Space group P2_1/c (No. 14)
Symmetry-distinct sites (fractional):
Y1 0.1494 0.1697 0.1787
Y2 0.3337 0.6489 0.0946
Cd1 0.5000 0.0000 0.0000
Cu1 0.0000 0.0000 0.5000

#2
The following is a DFT calculation (PBE) of Y4CdCu after structural relaxation.

Results
magnetic moment: 1.93 μB per formula unit
volume: 26.9 Å³ per atom
DOS(E_F): 6.61 states/eV/cell

Unit cell a=3.5468 b=3.5468 c=12.8429 alpha=90.00 beta=90.00 gamma=90.00
Space group P4/mmm (No. 123)
Symmetry-distinct sites (fractional):
Y1 0.0000 0.0000 0.1333
Y2 0.5000 0.5000 0.3363
Cd1 0.0000 0.0000 0.5000
Cu1 0.5000 0.5000 0.0000

Which of them is most stable? Easy: #2.

#1
The following is a DFT calculation (PBE) of YCd3Cu after structural relaxation.

Results
magnetic moment: 0.00 μB per formula unit
volume: 42.1 Å³ per atom
DOS(E_F): 3.64 states/eV/cell

Unit cell a=5.9490 b=5.9490 c=5.9490 alpha=90.00 beta=90.00 gamma=90.00
Space group Pm-3m (No. 221)
Symmetry-distinct sites (fractional):
Y1 0.0000 0.0000 0.0000
Cd1 0.0000 0.0000 0.5000
Cu1 0.5000 0.5000 0.5000

#2
The following is a DFT calculation (PBE) of YCd3Cu after structural relaxation.

Results
magnetic moment: 0.00 μB per formula unit
volume: 23.9 Å³ per atom
DOS(E_F): 4.45 states/eV/cell

Unit cell a=4.9289 b=4.9289 c=4.9289 alpha=90.00 beta=90.00 gamma=90.00
Space group Pm-3m (No. 221)
Symmetry-distinct sites (fractional):
Y1 0.0000 0.0000 0.0000
Cd1 0.0000 0.5000 0.5000
Cu1 0.5000 0.5000 0.5000

Which of them is most stable? Easy: #2.